1.
PuThPaAl | PBE-GGA | optimized geometry Values from VASP.

Structure (Quantum ESPRESSO input):
```
&SYSTEM
  ibrav = 0, nat = 4, ntyp = 4
/
ATOMIC_SPECIES
Al 26.98 Al.upf
Pu 244.00 Pu.upf
Th 232.04 Th.upf
Pa 231.04 Pa.upf
CELL_PARAMETERS angstrom
-0.828 -4.801 -1.812
3.824 -3.520 0.123
-0.265 -4.012 3.295
ATOMIC_POSITIONS crystal
Al 0.250 0.250 0.250
Pu 0.000 0.000 0.000
Th 0.500 0.500 0.500
Pa 0.750 0.750 0.750
```

SG	No. 216

***

2.
Sr3LiPd | PBE-GGA | optimized geometry Values from VASP.

Structure (Quantum ESPRESSO input):
```
&SYSTEM
  ibrav = 0, nat = 5, ntyp = 3
/
ATOMIC_SPECIES
Sr 87.62 Sr.upf
Li 6.94 Li.upf
Pd 106.42 Pd.upf
CELL_PARAMETERS angstrom
-5.065 -0.981 3.834
4.129 -1.237 4.768
0.044 6.295 1.297
ATOMIC_POSITIONS crystal
Sr 0.610 0.123 0.610
Sr 0.610 0.610 0.123
Li 0.647 0.647 0.647
Pd 0.885 0.885 0.885
Sr 0.123 0.610 0.610
```

distance to the lowest polymorph of the same formula	470	meV/atom
SG	No. 160

***

3.
As4W | PBE-GGA | optimized geometry Values from VASP.

Structure (Quantum ESPRESSO input):
```
&SYSTEM
  ibrav = 0, nat = 5, ntyp = 2
/
ATOMIC_SPECIES
As 74.92 As.upf
W 183.84 W.upf
CELL_PARAMETERS angstrom
-2.994 2.994 2.994
2.994 -2.994 2.994
2.994 2.994 -2.994
ATOMIC_POSITIONS crystal
As 0.500 0.000 0.000
W 0.000 0.000 0.000
As 0.500 0.500 0.500
As 0.000 0.000 0.500
As 0.000 0.500 0.000
```

SG	No. 229

***

| no. | final energy (eV per atom) | N(E_F) (states/eV/f.u.) |
| --- | --- | --- |
| 1 | -8.65 | 8.7 |
| 2 | -2.24 | 4.3 |
| 3 | -5.79 | 4.5 |